1.
Below is crystalline LiLa2Ag3 at its relaxed geometry, with properties calculated at the PBE level.

Unit cell a=6.0768 b=6.0768 c=9.1044 alpha=104.15 beta=104.15 gamma=105.51
Sites, in units of the cell vectors:
Li  0.6672  0.6672  0.3343
Li  0.3328  0.3328  0.6657
La  0.2500  0.7500  0.5000
La  0.7553  0.7553  0.0000
La  0.7500  0.2500  0.5000
La  0.2447  0.2447  0.0000
Ag  0.3444  0.8271  0.1715
Ag  0.1729  0.6556  0.8285
Ag  0.6556  0.1729  0.8285
Ag  0.8271  0.3444  0.1715
Ag  0.1708  0.1708  0.3416
Ag  0.8292  0.8292  0.6584

Results
ρ: 6.8 g/cm3
E_form: -225 meV per atom
Space-group type: Fmmm (69)
VASP energy: -0.266 Ry/atom

***

2.
Below is crystalline CaOsSe2 at its relaxed geometry, with properties calculated at the PBE level.

Unit cell a=5.2081 b=5.2081 c=5.2081 alpha=136.61 beta=112.18 gamma=84.02
Sites, in units of the cell vectors:
Ca  0.2500  0.7500  0.5000
Os  0.7500  0.2500  0.5000
Se  0.9470  0.9470  0.0000
Se  0.5530  0.5530  0.0000

Results
ρ: 7.4 g/cm3
Space-group type: Immm (71)
ΔE_f (raw): -0.433 eV/atom
VASP energy: -0.403 Ry/atom
Offset from the most stable computed form: 0.2040 eV/atom

***

3.
Below is crystalline SiNi2Hg at its relaxed geometry, with properties calculated at the PBE level.

Unit cell a=4.5062 b=4.5062 c=4.5062 alpha=132.37 beta=119.14 gamma=80.74
Sites, in units of the cell vectors:
Hg  0.7500  0.2500  0.5000
Ni  0.0475  0.0475  0.0000
Ni  0.4525  0.4525  0.0000
Si  0.2500  0.7500  0.5000

Results
ρ: 10.1 g/cm3
Space-group type: Immm (71)
ΔE_f (raw): 0.043 eV/atom
VASP energy: -0.314 Ry/atom
Offset from the most stable computed form: 0.2327 eV/atom

***

4.
Below is crystalline Co2ReSbH at its relaxed geometry, with properties calculated at the PBE level.

Unit cell a=3.7567 b=4.1608 c=3.7567 alpha=90.00 beta=90.00 gamma=90.00
Sites, in units of the cell vectors:
Re  0.5000  0.5000  0.5000
Co  0.0000  0.0000  0.5000
Co  0.5000  0.0000  0.0000
H  0.0000  0.0000  0.0000
Sb  0.0000  0.5000  0.0000

Results
ρ: 12.1 g/cm3
Space-group type: P4/mmm (123)
VASP energy: -0.464 Ry/atom

***

5.
Below is crystalline LaSn2PdRu at its relaxed geometry, with properties calculated at the PBE level.

Unit cell a=5.0263 b=5.1666 c=5.0263 alpha=90.00 beta=90.00 gamma=90.00
Sites, in units of the cell vectors:
Ru  0.0000  0.5000  0.0000
Sn  0.0000  0.0000  0.5000
Sn  0.5000  0.0000  0.0000
Pd  0.0000  0.0000  0.0000
La  0.5000  0.5000  0.5000

Results
ρ: 7.4 g/cm3
E_form: 201 meV per atom
Space-group type: P4/mmm (123)
VASP energy: -0.388 Ry/atom

***

6.
Below is crystalline PmHo7Tm2 at its relaxed geometry, with properties calculated at the PBE level.

Unit cell a=7.8810 b=9.3247 c=9.3336 alpha=141.78 beta=126.21 gamma=47.58
Sites, in units of the cell vectors:
Pm  0.0000  0.0000  0.0000
Ho  0.0003  0.6003  0.3995
Ho  0.9997  0.3997  0.6005
Ho  0.5003  0.7000  0.8003
Ho  0.4997  0.3000  0.1997
Ho  0.0003  0.8001  0.2008
Ho  0.9997  0.1999  0.7992
Ho  0.5000  0.5000  0.0000
Tm  0.4990  0.8994  0.5988
Tm  0.5010  0.1006  0.4012

Results
ρ: 8.8 g/cm3
E_form: 22 meV per atom
Space-group type: P-1 (2)
VASP energy: -0.335 Ry/atom
Offset from the most stable computed form: 0.0000 eV/atom

***

7.
Below is crystalline YMgPd3 at its relaxed geometry, with properties calculated at the PBE level.

Unit cell a=5.0362 b=5.0362 c=5.0362 alpha=90.00 beta=90.00 gamma=90.00
Sites, in units of the cell vectors:
Y  0.0000  0.0000  0.0000
Mg  0.5000  0.5000  0.5000
Pd  0.0000  0.5000  0.0000
Pd  0.0000  0.0000  0.5000
Pd  0.5000  0.0000  0.0000

Results
ρ: 5.6 g/cm3
E_form: 340 meV per atom
Space-group type: Pm-3m (221)
VASP energy: -0.322 Ry/atom
Offset from the most stable computed form: 0.9329 eV/atom

***

8.
Below is crystalline Pr2AgSe at its relaxed geometry, with properties calculated at the PBE level.

Unit cell a=4.3431 b=4.2253 c=12.4477 alpha=99.77 beta=90.00 gamma=90.00
Sites, in units of the cell vectors:
Pr  0.7500  0.6868  0.3736
Pr  0.2500  0.3132  0.6264
Pr  0.7500  0.9290  0.8580
Pr  0.2500  0.0710  0.1420
Ag  0.2500  0.4596  0.9193
Ag  0.7500  0.5404  0.0807
Se  0.2500  0.1921  0.3841
Se  0.7500  0.8079  0.6159

Results
ρ: 6.9 g/cm3
Space-group type: Cmcm (63)
ΔE_f (raw): -1.032 eV/atom
VASP energy: -0.368 Ry/atom
Offset from the most stable computed form: 0.0000 eV/atom